Na2Mn2ReO6 after structural relaxation, computed with GGA+U.

Properties
Total magnetization = 22.02 μB/cell
Raw total energy = -0.5183 Ry/atom

abc: 5.5905 9.3108 5.8296
angles: 90.00 109.74 90.00
Last column: nearest neighbours and their distance in Å.
Space group C2/m (No. 12)
One atom of each set of equivalent atoms:
Na 0.0000 0.1737 0.0000 (multiplicity 4)  6 O 2.42-2.52
Mn 0.0000 0.3373 0.5000 (multiplicity 4)  6 O 2.18-2.27
Re 0.0000 0.0000 0.5000 (multiplicity 2)  6 O 1.96
O 0.2131 0.1532 0.6979 (multiplicity 8)  1 Re 1.96, 1 Mn 2.18
O 0.2262 0.0000 0.3056 (multiplicity 4)  1 Re 1.96, 2 Mn 2.18